[1]
AlPt2Se, relaxed, DFT GGA-PBE; space-group type = No. 123
1.0
3.552 0.000 0.000
0.000 4.266 0.000
0.000 0.000 4.266
Se Pt Al
1 2 1
Direct
0.500 0.500 0.000
0.000 0.000 0.000
0.000 0.500 0.500
0.500 0.000 0.500

[2]
AlPt2Se, relaxed, DFT GGA-PBE; space-group type = No. 225
1.0
0.000 3.190 3.190
3.190 0.000 3.190
3.190 3.190 0.000
Se Pt Al
1 2 1
Direct
0.500 0.500 0.500
0.250 0.250 0.250
0.750 0.750 0.750
0.000 0.000 0.000

[3]
AlPtSe3, relaxed, DFT GGA-PBE; space-group type = No. 221
1.0
-4.736 0.615 -1.449
-1.483 -0.199 4.761
0.529 4.949 0.371
Se Pt Al
3 1 1
Direct
0.000 0.500 0.000
0.000 0.000 0.500
0.500 0.000 0.000
0.000 0.000 0.000
0.500 0.500 0.500

| no. | formation energy (no corrections) (meV/atom) | uncorrected energy (eV/atom) |
| --- | --- | --- |
| 1 | -248 | -5.0753 |
| 2 | -190 | -5.0168 |
| 3 | 426 | -3.6217 |